A plane-wave DFT calculation with GGA-PBE was carried out for crystalline Pr6DyY2Er3 at its relaxed geometry.

The structure in POSCAR format:
```
Pr6DyY2Er3
1.0
3.1517 -5.4578 0.0000
3.1517 5.4578 0.0000
-2.0969 0.0000 11.6785
Pr Dy Y Er
6 1 2 3
direct
0.0840 0.4165 0.7516
0.2487 0.2487 0.2484
0.4165 0.0840 0.7516
0.5835 0.9160 0.2484
0.7513 0.7513 0.7516
0.9160 0.5835 0.2484
0.0000 0.0000 0.5000
0.3334 0.6666 0.5000
0.6666 0.3334 0.5000
0.1667 0.8333 0.0000
0.5000 0.5000 0.0000
0.8333 0.1667 0.0000
```

Output
**Space group**: C2/m, No. 12
**Magnetic moment**: 0.00 μB per formula unit
**Energy of formation from the pure elements**: 0.011 eV per atom